1.
VASP calculation (PBE) on a geometry-optimized BaCaAc structure.

a b c (Å): 20.3255 20.3255 20.3255
angles (deg): 11.59 11.59 11.59
Last column: nearest neighbours and their distance in Å.
Fractional positions:
1 Ba 0.1355 0.1355 0.1355  9 Ba 4.11-4.46, 3 Ca 4.16
2 Ba 0.8645 0.8645 0.8645  9 Ba 4.11-4.46, 3 Ca 4.16
3 Ca 0.4124 0.4124 0.4124  3 Ac 4.00, 6 Ca 4.11, 3 Ba 4.16
4 Ca 0.5876 0.5876 0.5876  3 Ac 4.00, 6 Ca 4.11, 3 Ba 4.16
5 Ac 0.3075 0.3075 0.3075  9 Ac 3.93-4.11, 3 Ca 4.00
6 Ac 0.6925 0.6925 0.6925  9 Ac 3.93-4.11, 3 Ca 4.00

Results
space group	No. 166
DFT formation energy	0.053	eV/atom
size of the total moment	0.00	μB/cell

2.
VASP calculation (PBE) on a geometry-optimized Tl2CrAs structure.

a b c (Å): 8.3722 8.3722 8.3722
angles (deg): 25.64 25.64 25.64
Last column: nearest neighbours and their distance in Å.
Fractional positions:
1 Tl 0.2485 0.2485 0.2485  3 As 2.92, 3 Cr 2.97
2 Tl 0.7515 0.7515 0.7515  3 As 2.92, 3 Cr 2.97
3 Cr 0.0000 0.0000 0.0000  6 Tl 2.97
4 As 0.5000 0.5000 0.5000  6 Tl 2.92

Results
space group	No. 166
DFT formation energy	0.527	eV/atom
size of the total moment	4.24	μB/cell

3.
VASP calculation (PBE) on a geometry-optimized CaCo2Ni structure.

a b c (Å): 4.8295 4.8295 2.6710
angles (deg): 90.00 90.00 114.76
Last column: nearest neighbours and their distance in Å.
Fractional positions:
1 Ca 0.0000 0.0000 0.0000  2 Ni 2.60, 2 Ca 2.67, 8 Co 2.76
2 Co 0.0000 0.5000 0.5000  4 Co 2.60-2.67, 4 Ni 2.76, 4 Ca 2.76
3 Co 0.5000 0.0000 0.5000  4 Co 2.60-2.67, 4 Ni 2.76, 4 Ca 2.76
4 Ni 0.5000 0.5000 0.0000  2 Ca 2.60, 2 Ni 2.67, 8 Co 2.76

Results
space group	No. 65
DFT formation energy	0.507	eV/atom
size of the total moment	3.19	μB/cell

4.
VASP calculation (PBE) on a geometry-optimized PrSmSn6 structure.

a b c (Å): 4.7671 4.7671 9.5678
angles (deg): 90.00 90.00 90.00
Last column: nearest neighbours and their distance in Å.
Fractional positions:
1 Pr 0.0000 0.0000 0.0000  12 Sn 3.37-3.40
2 Sm 0.0000 0.0000 0.5000  12 Sn 3.36-3.37
3 Sn 0.0000 0.5000 0.2529  8 Sn 3.36-3.40, 2 Sm 3.36, 2 Pr 3.40
4 Sn 0.0000 0.5000 0.7471  8 Sn 3.36-3.40, 2 Sm 3.36, 2 Pr 3.40
5 Sn 0.5000 0.0000 0.2529  8 Sn 3.36-3.40, 2 Sm 3.36, 2 Pr 3.40
6 Sn 0.5000 0.0000 0.7471  8 Sn 3.36-3.40, 2 Sm 3.36, 2 Pr 3.40
7 Sn 0.5000 0.5000 0.0000  4 Pr 3.37, 8 Sn 3.40
8 Sn 0.5000 0.5000 0.5000  8 Sn 3.36, 4 Sm 3.37

Results
space group	No. 123
DFT formation energy	-0.490	eV/atom
size of the total moment	0.00	μB/cell

5.
VASP calculation (PBE) on a geometry-optimized HRu2Se structure.

a b c (Å): 5.6544 5.6544 5.6544
angles (deg): 129.05 129.05 74.93
Last column: nearest neighbours and their distance in Å.
Fractional positions:
1 H 0.0000 0.0000 0.0000  4 Ru 1.78
2 H 0.7500 0.2500 0.5000  4 Ru 1.78
3 Ru 0.0124 0.6250 0.8874  2 H 1.78
4 Ru 0.3750 0.2624 0.3874  2 H 1.78
5 Ru 0.7376 0.1250 0.1126  2 H 1.78
6 Ru 0.8750 0.9876 0.6126  2 H 1.78
7 Se 0.2500 0.7500 0.5000  4 Ru 2.42
8 Se 0.5000 0.5000 0.0000  4 Ru 2.42

Results
E_tot	-6.120	eV/atom
space group	No. 122
size of the total moment	0.00	μB/cell

6.
VASP calculation (PBE) on a geometry-optimized LaZn2W structure.

a b c (Å): 9.9002 9.9002 9.9002
angles (deg): 153.96 153.96 37.16
Last column: nearest neighbours and their distance in Å.
Fractional positions:
1 La 0.0000 0.0000 0.0000  4 W 3.15, 4 Zn 3.16
2 La 0.7500 0.2500 0.5000  4 W 3.15, 4 Zn 3.16
3 Zn 0.2780 0.6250 0.1530  2 Zn 2.39, 2 W 2.63
4 Zn 0.3750 0.5280 0.6530  2 Zn 2.39, 2 W 2.63
5 Zn 0.4720 0.1250 0.8470  2 Zn 2.39, 2 W 2.63
6 Zn 0.8750 0.7220 0.3470  2 Zn 2.39, 2 W 2.63
7 W 0.2500 0.7500 0.5000  4 Zn 2.63
8 W 0.5000 0.5000 0.0000  4 Zn 2.63

Results
space group	No. 122
DFT formation energy	0.608	eV/atom
size of the total moment	0.00	μB/cell

7.
VASP calculation (PBE) on a geometry-optimized CdSiRu2 structure.

a b c (Å): 9.1700 9.1700 9.1700
angles (deg): 154.29 154.29 36.68
Last column: nearest neighbours and their distance in Å.
Fractional positions:
1 Cd 0.0000 0.0000 0.0000  4 Ru 2.78, 4 Si 2.89
2 Cd 0.7500 0.2500 0.5000  4 Ru 2.78, 4 Si 2.89
3 Si 0.2500 0.7500 0.5000  4 Ru 2.49
4 Si 0.5000 0.5000 0.0000  4 Ru 2.49
5 Ru 0.2163 0.6250 0.0913  2 Ru 2.42, 2 Si 2.49
6 Ru 0.3750 0.4663 0.5913  2 Ru 2.42, 2 Si 2.49
7 Ru 0.5337 0.1250 0.9087  2 Ru 2.42, 2 Si 2.49
8 Ru 0.8750 0.7837 0.4087  2 Ru 2.42, 2 Si 2.49

Results
space group	No. 122
raw formation energy	0.5411	eV/atom
size of the total moment	2.04	μB/cell

8.
VASP calculation (PBE) on a geometry-optimized BaPt structure.

a b c (Å): 7.1682 7.1682 7.1682
angles (deg): 100.51 100.51 129.44
Last column: nearest neighbours and their distance in Å.
Fractional positions:
1 Ba 0.0834 0.7083 0.7917  4 Pt 3.14-3.24
2 Ba 0.2917 0.0834 0.3750  4 Pt 3.14-3.24
3 Ba 0.7083 0.9166 0.6250  4 Pt 3.14-3.24
4 Ba 0.9166 0.2917 0.2083  4 Pt 3.14-3.24
5 Pt 0.2915 0.4369 0.7283  2 Pt 2.82, 3 Ba 3.14-3.16
6 Pt 0.4369 0.7085 0.1454  2 Pt 2.82, 3 Ba 3.14-3.16
7 Pt 0.5631 0.2915 0.8546  2 Pt 2.82, 3 Ba 3.14-3.16
8 Pt 0.7085 0.5631 0.2717  2 Pt 2.82, 3 Ba 3.14-3.16

Results
space group	No. 87
DFT formation energy	-0.489	eV/atom
size of the total moment	0.00	μB/cell

9.
VASP calculation (PBE) on a geometry-optimized Ba3Sm2TmTe6 structure.

a b c (Å): 7.9747 7.9747 8.2723
angles (deg): 99.27 99.27 119.90
Last column: nearest neighbours and their distance in Å.
Fractional positions:
1 Ba 0.0000 0.0000 0.0000  6 Te 3.44-3.50
2 Ba 0.3300 0.6700 0.0000  6 Te 3.44-3.48
3 Ba 0.6700 0.3300 0.0000  6 Te 3.44-3.48
4 Sm 0.1654 0.8346 0.5000  6 Te 3.18-3.19
5 Sm 0.8346 0.1654 0.5000  6 Te 3.18-3.19
6 Tm 0.5000 0.5000 0.5000  6 Te 3.10-3.11
7 Te 0.1026 0.4283 0.2836  1 Tm 3.10, 2 Sm 3.18-3.19, 2 Ba 3.44
8 Te 0.2483 0.2483 0.7198  1 Tm 3.11, 2 Sm 3.18, 2 Ba 3.45
9 Te 0.4283 0.1026 0.2836  1 Tm 3.10, 2 Sm 3.18-3.19, 2 Ba 3.44
10 Te 0.5717 0.8974 0.7164  1 Tm 3.10, 2 Sm 3.18-3.19, 2 Ba 3.44
11 Te 0.7517 0.7517 0.2802  1 Tm 3.11, 2 Sm 3.18, 2 Ba 3.45
12 Te 0.8974 0.5717 0.7164  1 Tm 3.10, 2 Sm 3.18-3.19, 2 Ba 3.44

Results
space group	No. 12
raw formation energy	-1.5309	eV/atom
size of the total moment	0.00	μB/cell

10.
VASP calculation (PBE) on a geometry-optimized GdSnHgPb structure.

a b c (Å): 5.4142 5.4142 5.4142
angles (deg): 60.00 60.00 60.00
Last column: nearest neighbours and their distance in Å.
Fractional positions:
1 Gd 0.0000 0.0000 0.0000  4 Hg 3.32, 4 Sn 3.32
2 Sn 0.2500 0.2500 0.2500  4 Gd 3.32, 4 Pb 3.32
3 Hg 0.7500 0.7500 0.7500  4 Gd 3.32, 4 Pb 3.32
4 Pb 0.5000 0.5000 0.5000  4 Hg 3.32, 4 Sn 3.32

Results
space group	No. 216
DFT formation energy	-0.277	eV/atom
size of the total moment	7.17	μB/cell

11.
VASP calculation (PBE) on a geometry-optimized SrLi2MnI6 structure.

a b c (Å): 8.2960 8.2960 8.2960
angles (deg): 54.73 54.73 54.73
Last column: nearest neighbours and their distance in Å.
Fractional positions:
1 Sr 0.0000 0.0000 0.0000  6 I 3.26-3.32
2 Li 0.3082 0.3082 0.3082  6 I 3.03-3.11
3 Li 0.8130 0.8130 0.8130  6 I 2.93-3.13
4 Mn 0.4949 0.4949 0.4949  6 I 2.92-2.94
5 I 0.0924 0.6922 0.4394  2 Li 2.93-3.11, 1 Mn 2.94, 1 Sr 3.26
6 I 0.2360 0.5684 0.8937  1 Mn 2.92, 2 Li 3.03-3.13
7 I 0.4394 0.0924 0.6922  2 Li 2.93-3.11, 1 Mn 2.94, 1 Sr 3.26
8 I 0.5684 0.8937 0.2360  1 Mn 2.92, 2 Li 3.03-3.13
9 I 0.6922 0.4394 0.0924  2 Li 2.93-3.11, 1 Mn 2.94, 1 Sr 3.26
10 I 0.8937 0.2360 0.5684  1 Mn 2.92, 2 Li 3.03-3.13

Results
space group	No. 146
raw formation energy	-1.0708	eV/atom
size of the total moment	5.00	μB/cell

12.
VASP calculation (PBE) on a geometry-optimized CuAsRh structure.

a b c (Å): 6.8693 6.5916 2.8176
angles (deg): 83.51 72.44 24.05
Last column: nearest neighbours and their distance in Å.
Fractional positions:
1 Cu 0.0000 0.0000 0.0000  2 Rh 2.59, 2 As 2.66, 6 Cu 2.82-2.90
2 As 0.6732 0.6732 0.3268  2 Rh 2.51, 2 Cu 2.66
3 Rh 0.3326 0.3326 0.6674  2 As 2.51, 2 Cu 2.59

Results
space group	No. 42
DFT formation energy	0.158	eV/atom
size of the total moment	0.00	μB/cell

13.
VASP calculation (PBE) on a geometry-optimized AlCr3Sb structure.

a b c (Å): 5.1047 5.1047 5.1047
angles (deg): 90.00 90.00 90.00
Last column: nearest neighbours and their distance in Å.
Fractional positions:
1 Al 0.0000 0.0000 0.0000  12 Cr 3.61
2 Cr 0.0000 0.5000 0.5000  2 Sb 2.55
3 Cr 0.5000 0.0000 0.5000  2 Sb 2.55
4 Cr 0.5000 0.5000 0.0000  2 Sb 2.55
5 Sb 0.5000 0.5000 0.5000  6 Cr 2.55

Results
space group	No. 221
raw formation energy	1.2914	eV/atom
size of the total moment	12.37	μB/cell

14.
VASP calculation (PBE) on a geometry-optimized LiAcAgP structure.

a b c (Å): 5.1361 5.1361 5.1361
angles (deg): 60.00 60.00 60.00
Last column: nearest neighbours and their distance in Å.
Fractional positions:
1 Li 0.0000 0.0000 0.0000  4 P 3.15, 4 Ag 3.15
2 Ac 0.5000 0.5000 0.5000  4 P 3.15, 4 Ag 3.15
3 Ag 0.2500 0.2500 0.2500  4 Ac 3.15, 4 Li 3.15
4 P 0.7500 0.7500 0.7500  4 Li 3.15, 4 Ac 3.15

Results
space group	No. 216
DFT formation energy	-0.512	eV/atom
size of the total moment	0.00	μB/cell

15.
VASP calculation (PBE) on a geometry-optimized CaLaY2Se4 structure.

a b c (Å): 7.2384 4.1460 7.2441
angles (deg): 90.00 109.10 90.00
Last column: nearest neighbours and their distance in Å.
Fractional positions:
1 Ca 0.0000 0.0000 0.0000  6 Se 2.96-2.97
2 La 0.0000 0.5000 0.5000  6 Se 3.02
3 Y 0.5000 0.0000 0.5000  6 Se 2.94-2.95
4 Y 0.5000 0.5000 0.0000  6 Se 2.88
5 Se 0.2583 0.5000 0.2470  3 Y 2.88-2.94, 2 Ca 2.97, 1 La 3.02
6 Se 0.2620 0.0000 0.7610  3 Y 2.88-2.95, 1 Ca 2.96, 2 La 3.02
7 Se 0.7380 0.0000 0.2390  3 Y 2.88-2.95, 1 Ca 2.96, 2 La 3.02
8 Se 0.7417 0.5000 0.7530  3 Y 2.88-2.94, 2 Ca 2.97, 1 La 3.02

Results
space group	No. 10
raw formation energy	-1.8769	eV/atom
size of the total moment	0.00	μB/cell

16.
VASP calculation (PBE) on a geometry-optimized EuTmNiHg structure.

a b c (Å): 5.1026 5.1026 5.1026
angles (deg): 60.00 60.00 60.00
Last column: nearest neighbours and their distance in Å.
Fractional positions:
1 Eu 0.0000 0.0000 0.0000  4 Hg 3.12, 4 Ni 3.12
2 Tm 0.5000 0.5000 0.5000  4 Hg 3.12, 4 Ni 3.12
3 Ni 0.2500 0.2500 0.2500  4 Tm 3.12, 4 Eu 3.12
4 Hg 0.7500 0.7500 0.7500  4 Tm 3.12, 4 Eu 3.12

Results
space group	No. 216
DFT formation energy	-0.255	eV/atom
size of the total moment	6.97	μB/cell

17.
VASP calculation (PBE) on a geometry-optimized LaIrOs2 structure.

a b c (Å): 2.8884 4.4505 5.8336
angles (deg): 90.00 101.38 90.00
Last column: nearest neighbours and their distance in Å.
Fractional positions:
1 La 0.0000 0.0000 0.0000  2 Os 2.84-3.16, 2 La 2.89, 4 Ir 2.95-3.05
2 Ir 0.4379 0.5000 0.7547  4 Os 2.63-2.71, 2 Ir 2.89
3 Os 0.3959 0.0000 0.4863  6 Os 2.63-2.89, 2 Ir 2.71, 1 La 2.84
4 Os 0.7700 0.5000 0.3669  2 Ir 2.63-2.67, 6 Os 2.63-2.89

Results
space group	No. 6
DFT formation energy	0.246	eV/atom
size of the total moment	0.00	μB/cell

18.
VASP calculation (PBE) on a geometry-optimized ZrTiNbZn structure.

a b c (Å): 4.6751 4.6751 4.6751
angles (deg): 60.00 60.00 60.00
Last column: nearest neighbours and their distance in Å.
Fractional positions:
1 Zr 0.0000 0.0000 0.0000  4 Nb 2.86, 4 Zn 2.86
2 Ti 0.5000 0.5000 0.5000  4 Nb 2.86, 4 Zn 2.86
3 Nb 0.7500 0.7500 0.7500  4 Ti 2.86, 4 Zr 2.86
4 Zn 0.2500 0.2500 0.2500  4 Zr 2.86, 4 Ti 2.86

Results
space group	No. 216
DFT formation energy	-0.024	eV/atom
size of the total moment	0.00	μB/cell

19.
VASP calculation (PBE) on a geometry-optimized Pm2PrPb2 structure.

a b c (Å): 5.2754 5.2754 13.3113
angles (deg): 90.00 90.00 120.00
Last column: nearest neighbours and their distance in Å.
Fractional positions:
1 Pm 0.0000 0.0000 0.0000  2 Pr 3.33, 6 Pb 3.45
2 Pm 0.0000 0.0000 0.5000  2 Pr 3.33, 6 Pb 3.45
3 Pm 0.3333 0.6667 0.2500  3 Pr 3.05
4 Pm 0.6667 0.3333 0.7500  3 Pr 3.05
5 Pr 0.0000 0.0000 0.2500  5 Pm 3.05-3.33
6 Pr 0.0000 0.0000 0.7500  5 Pm 3.05-3.33
7 Pb 0.3333 0.6667 0.6216  1 Pb 3.42, 6 Pm 3.45-3.49, 3 Pr 3.49
8 Pb 0.3333 0.6667 0.8784  1 Pb 3.42, 6 Pm 3.45-3.49, 3 Pr 3.49
9 Pb 0.6667 0.3333 0.1216  1 Pb 3.42, 6 Pm 3.45-3.49, 3 Pr 3.49
10 Pb 0.6667 0.3333 0.3784  1 Pb 3.42, 6 Pm 3.45-3.49, 3 Pr 3.49

Results
space group	No. 194
DFT formation energy	-0.169	eV/atom
size of the total moment	0.00	μB/cell

20.
VASP calculation (PBE) on a geometry-optimized Ce2BiAu6 structure.

a b c (Å): 8.3151 8.3151 3.4783
angles (deg): 90.00 90.00 120.00
Last column: nearest neighbours and their distance in Å.
Fractional positions:
1 Ce 0.3333 0.6667 0.0000  12 Au 3.27, 2 Ce 3.48
2 Ce 0.6667 0.3333 0.0000  12 Au 3.27, 2 Ce 3.48
3 Bi 0.0000 0.0000 0.0000  12 Au 3.28, 2 Bi 3.48
4 Au 0.0000 0.3346 0.5000  3 Au 2.75-2.78
5 Au 0.0000 0.6654 0.5000  3 Au 2.75-2.78
6 Au 0.3346 0.0000 0.5000  3 Au 2.75-2.78
7 Au 0.3346 0.3346 0.5000  3 Au 2.75-2.78
8 Au 0.6654 0.0000 0.5000  3 Au 2.75-2.78
9 Au 0.6654 0.6654 0.5000  3 Au 2.75-2.78

Results
space group	No. 191
DFT formation energy	-0.439	eV/atom
size of the total moment	1.96	μB/cell